DFT (PBE) results for crystalline LiCaTbS3 at its relaxed geometry.

Cell and atoms, written as CIF:
```
data_LiCaTbS3
_chemical_formula_sum 'Li2 Ca2 Tb2 S6'
_space_group_name_H-M_alt 'P 1 21/m 1'
_space_group_IT_number 11
_cell_length_a 8.1725
_cell_length_b 3.9219
_cell_length_c 8.4250
_cell_angle_alpha 90.00
_cell_angle_beta 101.52
_cell_angle_gamma 90.00
loop_
_space_group_symop_operation_xyz
'x,y,z'
'-x,-y,-z'
'-x,y+1/2,-z'
'x,-y+1/2,z'
loop_
_atom_site_label
_atom_site_fract_x
_atom_site_fract_y
_atom_site_fract_z
_atom_site_occupancy
Li1 0.0850 0.2500 0.0833 1
Ca1 0.1803 0.2500 0.7266 1
Tb1 0.3346 0.7500 0.3268 1
S1 0.1083 0.2500 0.3675 1
S2 0.2114 0.7500 0.0001 1
S3 0.4264 0.7500 0.6655 1
```

Properties
For the total energy, the calculation gives -5.358 eV/atom. The density of states at the Fermi level comes out at 0.00 states/eV per cell. Its uncorrected formation energy is -1870 meV per atom. The total moment is 0.00 μB/atom.